# GGA-PBE K3Ga11, optimized geometry
# DOS(E_F)   14.61 states/eV/cell
# Total magnetization   0.0 Bohr magnetons per cell
# Energy of formation from the pure elements   -0.948 eV per formula unit
# Crystal system   orthorhombic
data_K3Ga11
_chemical_formula_sum 'K6 Ga22'
_cell_length_a 4.634
_cell_length_b 10.165
_cell_length_c 13.532
_cell_angle_alpha 90.00
_cell_angle_beta 90.00
_cell_angle_gamma 90.00
_symmetry_space_group_name_H-M 'I m m m'
_symmetry_Int_Tables_number 71
_symmetry_space_group_name_Hall '-I 2 2'
loop_
_atom_site_label
_atom_site_type_symbol
_atom_site_fract_x
_atom_site_fract_y
_atom_site_fract_z
_atom_site_occupancy
K1 K 0.000 0.000 0.000 1
K2 K 0.000 0.000 0.302 1
Ga1 Ga 0.000 0.195 0.500 1
Ga2 Ga 0.000 0.277 0.145 1
Ga3 Ga 0.000 0.362 0.339 1
Ga4 Ga 0.000 0.500 0.000 1